# VGeF5

An optimized crystal structure of VGeF5 (PBE with a Hubbard U, the Alexandria database).

a b c (Å): 8.4669 7.0726 7.6285
angles (deg): 90.00 109.72 90.00
Space group C2/c (No. 15)
One atom of each set of equivalent atoms:
V 0.0000 0.0000 0.0000
Ge 0.0000 0.4692 0.2500
F 0.0000 0.0807 0.7500
F 0.0462 0.2728 0.0915
F 0.2371 0.0526 0.5756

Properties
DOS(E_F) ... 0.0 states/eV/f.u.
Energy ... -5.588 eV/atom